VASP calculation (PBE-GGA) on a geometry-optimized LaNpTl structure.

The value obtained for the total energy is -6.20 eV/atom. The calculation puts the energy above the most stable polymorph in this dataset at 0 meV per atom.

The structure belongs to space group F-43m (No. 216); the cell edges are 7.5388, 7.5388 and 7.5388 Å and the angles 90.00°, 90.00° and 90.00°. Symmetry generates all atoms from La at (0.0000, 0.0000, 0.0000), Np at (0.0000, 0.0000, 0.5000) and Tl at (0.2500, 0.2500, 0.2500).